Here is a relaxed structure of CsTcB from OQMD via LeMat-Bulk. Energies are from GGA-PBE.

```
CsTcB
1.0
0.000 3.300 3.300
3.300 0.000 3.300
3.300 3.300 0.000
Cs Tc B
1 1 1
direct
0.000 0.000 0.000
0.500 0.500 0.500
0.250 0.250 0.250
```

Summary:
Total DFT energy (no corrections) (eV/atom): -3.54
Space-group type: No. 216

Here is a relaxed structure of DyB3Mo from OQMD via LeMat-Bulk. Energies are from GGA-PBE.

```
DyB3Mo
1.0
5.441 0.000 0.000
0.000 3.163 0.000
-1.427 0.000 6.692
Dy B Mo
2 6 2
direct
0.175 0.250 0.209
0.825 0.750 0.791
0.083 0.750 0.494
0.413 0.750 0.496
0.419 0.750 0.975
0.581 0.250 0.025
0.587 0.250 0.504
0.917 0.250 0.506
0.311 0.250 0.720
0.689 0.750 0.280
```

Summary:
Total DFT energy (no corrections) (eV/atom): -7.71
Space-group type: No. 11

Here is a relaxed structure of KAgBi from OQMD via LeMat-Bulk. Energies are from GGA-PBE.

```
KAgBi
1.0
0.000 3.797 3.797
3.797 0.000 3.797
3.797 3.797 0.000
K Ag Bi
1 1 1
direct
0.000 0.000 0.000
0.750 0.750 0.750
0.250 0.250 0.250
```

Summary:
Total DFT energy (no corrections) (eV/atom): -2.12
Space-group type: No. 216

Here is a relaxed structure of KSrPm from OQMD via LeMat-Bulk. Energies are from GGA-PBE.

```
KSrPm
1.0
0.000 4.551 4.551
4.551 0.000 4.551
4.551 4.551 0.000
K Sr Pm
1 1 1
direct
0.000 0.000 0.000
0.500 0.500 0.500
0.250 0.250 0.250
```

Summary:
Total DFT energy (no corrections) (eV/atom): -1.59
Space-group type: No. 216

Here is a relaxed structure of DySi2TcAg from OQMD via LeMat-Bulk. Energies are from GGA-PBE.

```
DySi2TcAg
1.0
-2.053 2.053 5.160
2.053 -2.053 5.160
2.053 2.053 -5.160
Dy Si Tc Ag
1 2 1 1
direct
0.000 0.000 0.000
0.385 0.385 0.000
0.615 0.615 0.000
0.250 0.750 0.500
0.750 0.250 0.500
```

Summary:
Total DFT energy (no corrections) (eV/atom): -6.16
Space-group type: No. 119

Here is a relaxed structure of Ag2Hg7P8I6 from OQMD via LeMat-Bulk. Energies are from GGA-PBE.

```
Ag2Hg7P8I6
1.0
6.705 -5.603 0.000
6.705 5.603 0.000
-1.879 0.000 8.338
Ag Hg P I
2 7 8 6
direct
0.000 0.500 0.000
0.500 0.000 0.000
0.000 0.000 0.500
0.271 0.636 0.734
0.272 0.272 0.366
0.364 0.729 0.266
0.636 0.271 0.734
0.728 0.728 0.634
0.729 0.364 0.266
0.079 0.763 0.921
0.086 0.086 0.241
0.237 0.921 0.079
0.439 0.439 0.565
0.561 0.561 0.435
0.763 0.079 0.921
0.914 0.914 0.759
0.921 0.237 0.079
0.038 0.640 0.349
0.353 0.353 0.036
0.360 0.962 0.651
0.640 0.038 0.349
0.647 0.647 0.964
0.962 0.360 0.651
```

Summary:
Total DFT energy (no corrections) (eV/atom): -2.75
Space-group type: No. 12

Question: Which of these has the lowest total DFT energy (no corrections)?
Answer: DyB3Mo